# 1
Entry from the Alexandria database: a PBEsol-optimized structure of Li2Si (meta-GGA SCAN).

Computed properties:
The calculation puts the density of states at the Fermi level at 0.152 states/eV per atom. The magnetic moment is 0.000 μB/atom. The value obtained for the volume is 16.32 Å³/atom. The value obtained for the raw formation energy is -214 meV per atom.

a b c (Å): 4.3008 4.3008 18.3404
angles (deg): 90.00 90.00 120.00
Space group R-3m (No. 166, hexagonal axes)
One atom of each set of equivalent atoms:
Li 0.0000 0.0000 0.1445
Li 0.0000 0.0000 0.2946
Si 0.0000 0.0000 0.4380



# 2
Entry from the Alexandria database: a PBEsol-optimized structure of Si3C (meta-GGA SCAN).

Computed properties:
The calculation puts the density of states at the Fermi level at 0.340 states/eV per atom. The magnetic moment is 0.000 μB/atom. The value obtained for the volume is 11.90 Å³/atom. The value obtained for the raw formation energy is 1504 meV per atom.

a b c (Å): 3.984 3.984 2.999
angles (deg): 90.00 90.00 90.00
Space group P4/mmm (No. 123)
One atom of each set of equivalent atoms:
Si 0.000 0.000 0.000
Si 0.000 0.500 0.500
C 0.500 0.500 0.000



# 3
Entry from the Alexandria database: a PBEsol-optimized structure of Na6Cr2B4SO16 (meta-GGA SCAN).

Computed properties:
The calculation puts the density of states at the Fermi level at 0.201 states/eV per atom. The magnetic moment is 0.138 μB/atom. The value obtained for the volume is 11.36 Å³/atom. The value obtained for the raw formation energy is -2291 meV per atom.

a b c (Å): 13.811 13.811 13.811
angles (deg): 90.00 90.00 90.00
Space group Fd-3 (No. 203, origin choice 2)
One atom of each set of equivalent atoms:
Na 0.095 0.375 0.375
Cr 0.000 0.000 0.500
B 0.039 0.039 0.711
S 0.125 0.125 0.125
O 0.019 0.272 0.615
O 0.063 0.063 0.063



# 4
Entry from the Alexandria database: a PBEsol-optimized structure of PrCdPd (meta-GGA SCAN).

Computed properties:
The calculation puts the density of states at the Fermi level at 0.647 states/eV per atom. The magnetic moment is 0.000 μB/atom. The total energy comes out at -36.246 eV per atom. The value obtained for the volume is 22.39 Å³/atom.

a b c (Å): 7.6089 7.6089 4.0190
angles (deg): 90.00 90.00 120.00
Space group P-62m (No. 189)
One atom of each set of equivalent atoms:
Pr 0.0000 0.5933 0.0000
Cd 0.0000 0.2509 0.5000
Pd 0.0000 0.0000 0.0000
Pd 0.3333 0.6667 0.5000



# 5
Entry from the Alexandria database: a PBEsol-optimized structure of Li4Si2NiO7 (meta-GGA SCAN).

Computed properties:
The calculation puts the density of states at the Fermi level at 0.000 states/eV per atom. The magnetic moment is 0.143 μB/atom. The value obtained for the volume is 9.89 Å³/atom. The value obtained for the raw formation energy is -2513 meV per atom.

a b c (Å): 9.542 4.411 13.337
angles (deg): 90.00 99.54 90.00
Space group C2 (No. 5)
One atom of each set of equivalent atoms:
Li 0.146 0.000 0.465
Li 0.150 0.031 0.970
Li 0.206 0.504 0.323
Li 0.218 0.519 0.821
Si 0.073 0.509 0.107
Si 0.077 0.478 0.605
Ni 0.019 0.005 0.755
O 0.000 0.674 0.500
O 0.000 0.707 0.000
O 0.050 0.269 0.360
O 0.056 0.298 0.865
O 0.126 0.752 0.198
O 0.135 0.726 0.694
O 0.204 0.277 0.576
O 0.205 0.313 0.080



# 6
Entry from the Alexandria database: a PBEsol-optimized structure of Cs2HAu (meta-GGA SCAN).

Computed properties:
The calculation puts the density of states at the Fermi level at 0.000 states/eV per atom. The magnetic moment is 0.000 μB/atom. The total energy comes out at -37.318 eV per atom. The value obtained for the volume is 37.05 Å³/atom.

a b c (Å): 8.386 8.386 8.429
angles (deg): 90.00 90.00 90.00
Space group I-42d (No. 122)
One atom of each set of equivalent atoms:
Cs 0.194 0.750 0.125
H 0.000 0.000 0.000
Au 0.000 0.000 0.500